1.
The following is a DFT calculation (PBE) of crystalline BaNa2AsI at its relaxed geometry.

Output
Uncorrected formation energy = -0.87 eV per atom
Space-group type = P4/mmm
Total DFT energy (no corrections) = -3.026 eV/atom

Structure (CIF):
```
data_BaNa2AsI
_space_group_name_H-M_alt 'P 1'
_space_group_IT_number 1
_cell_length_a 5.520
_cell_length_b 5.520
_cell_length_c 6.504
_cell_angle_alpha 90.00
_cell_angle_beta 90.00
_cell_angle_gamma 90.00
loop_
_space_group_symop_operation_xyz
'x,y,z'
loop_
_atom_site_label
_atom_site_type_symbol
_atom_site_fract_x
_atom_site_fract_y
_atom_site_fract_z
As1 As 0.000 0.000 0.000
Na1 Na 0.000 0.500 0.000
Na2 Na 0.500 0.000 0.000
Ba1 Ba 0.000 0.000 0.500
I1 I 0.500 0.500 0.500
```

2.
The following is a DFT calculation (PBE) of crystalline RuW2Br2 at its relaxed geometry.

Output
Uncorrected formation energy = 1.70 eV per atom
Space-group type = I4/mmm
Total DFT energy (no corrections) = -6.011 eV/atom

Structure (CIF):
```
data_RuW2Br2
_space_group_name_H-M_alt 'P 1'
_space_group_IT_number 1
_cell_length_a 5.816
_cell_length_b 5.816
_cell_length_c 5.816
_cell_angle_alpha 135.82
_cell_angle_beta 135.82
_cell_angle_gamma 64.25
loop_
_space_group_symop_operation_xyz
'x,y,z'
loop_
_atom_site_label
_atom_site_type_symbol
_atom_site_fract_x
_atom_site_fract_y
_atom_site_fract_z
Br1 Br 0.632 0.632 0.000
Br2 Br 0.368 0.368 0.000
Ru1 Ru 0.000 0.000 0.000
W1 W 0.250 0.750 0.500
W2 W 0.750 0.250 0.500
```

3.
The following is a DFT calculation (PBE) of crystalline TaP2W at its relaxed geometry.

Output
Calculated formation energy = -6 kJ per mole of atoms
Space-group type = R3m
Total DFT energy (no corrections) = -8.965 eV/atom

Structure (CIF):
```
data_TaP2W
_space_group_name_H-M_alt 'P 1'
_space_group_IT_number 1
_cell_length_a 7.940
_cell_length_b 7.940
_cell_length_c 7.940
_cell_angle_alpha 22.25
_cell_angle_beta 22.25
_cell_angle_gamma 22.25
loop_
_space_group_symop_operation_xyz
'x,y,z'
loop_
_atom_site_label
_atom_site_type_symbol
_atom_site_fract_x
_atom_site_fract_y
_atom_site_fract_z
P1 P 0.001 0.001 0.001
P2 P 0.252 0.252 0.252
W1 W 0.741 0.741 0.741
Ta1 Ta 0.506 0.506 0.506
```

4.
The following is a DFT calculation (PBE) of crystalline NaLiGe2 at its relaxed geometry.

Output
Calculated formation energy = 1 kJ per mole of atoms
Space-group type = R-3m
Total DFT energy (no corrections) = -3.112 eV/atom

Structure (CIF):
```
data_NaLiGe2
_space_group_name_H-M_alt 'P 1'
_space_group_IT_number 1
_cell_length_a 3.081
_cell_length_b 3.081
_cell_length_c 9.565
_cell_angle_alpha 80.73
_cell_angle_beta 80.73
_cell_angle_gamma 60.00
loop_
_space_group_symop_operation_xyz
'x,y,z'
loop_
_atom_site_label
_atom_site_type_symbol
_atom_site_fract_x
_atom_site_fract_y
_atom_site_fract_z
Ge1 Ge 0.257 0.257 0.229
Ge2 Ge 0.743 0.743 0.771
Li1 Li 0.000 0.000 0.000
Na1 Na 0.500 0.500 0.500
```

5.
The following is a DFT calculation (PBE) of crystalline Th5H2Se5 at its relaxed geometry.

Output
Space-group type = C2/m
Total DFT energy (no corrections) = -6.337 eV/atom

Structure (CIF):
```
data_Th5H2Se5
_space_group_name_H-M_alt 'P 1'
_space_group_IT_number 1
_cell_length_a 4.009
_cell_length_b 7.184
_cell_length_c 11.006
_cell_angle_alpha 110.81
_cell_angle_beta 90.00
_cell_angle_gamma 106.20
loop_
_space_group_symop_operation_xyz
'x,y,z'
loop_
_atom_site_label
_atom_site_type_symbol
_atom_site_fract_x
_atom_site_fract_y
_atom_site_fract_z
Th1 Th 0.327 0.655 0.221
Th2 Th 0.910 0.821 0.628
Th3 Th 0.090 0.179 0.372
Th4 Th 0.673 0.345 0.779
Th5 Th 0.000 0.000 0.000
Se1 Se 0.334 0.668 0.956
Se2 Se 0.745 0.489 0.361
Se3 Se 0.255 0.511 0.639
Se4 Se 0.666 0.332 0.044
Se5 Se 0.500 0.000 0.500
H1 H 0.073 0.147 0.807
H2 H 0.927 0.853 0.193
```

6.
The following is a DFT calculation (PBE) of crystalline Ba2Mg6ZnRh at its relaxed geometry.

Output
Calculated formation energy = -14 kJ per mole of atoms
Space-group type = C2/m
Total DFT energy (no corrections) = -2.354 eV/atom

Structure (CIF):
```
data_Ba2Mg6ZnRh
_space_group_name_H-M_alt 'P 1'
_space_group_IT_number 1
_cell_length_a 7.388
_cell_length_b 7.388
_cell_length_c 7.381
_cell_angle_alpha 59.90
_cell_angle_beta 59.90
_cell_angle_gamma 90.02
loop_
_space_group_symop_operation_xyz
'x,y,z'
loop_
_atom_site_label
_atom_site_type_symbol
_atom_site_fract_x
_atom_site_fract_y
_atom_site_fract_z
Rh1 Rh 0.500 0.500 0.000
Mg1 Mg 0.257 0.257 0.000
Mg2 Mg 0.743 0.257 0.000
Mg3 Mg 0.257 0.257 0.486
Mg4 Mg 0.743 0.743 0.514
Mg5 Mg 0.257 0.743 0.000
Mg6 Mg 0.743 0.743 0.000
Ba1 Ba 0.250 0.750 0.500
Ba2 Ba 0.750 0.250 0.500
Zn1 Zn 0.000 0.000 0.000
```

7.
The following is a DFT calculation (PBE) of crystalline Th4In15Hg at its relaxed geometry.

Output
Calculated formation energy = -24 kJ per mole of atoms
Space-group type = P4/mmm
Total DFT energy (no corrections) = -3.806 eV/atom

Structure (CIF):
```
data_Th4In15Hg
_space_group_name_H-M_alt 'P 1'
_space_group_IT_number 1
_cell_length_a 4.709
_cell_length_b 4.709
_cell_length_c 24.061
_cell_angle_alpha 90.00
_cell_angle_beta 90.00
_cell_angle_gamma 90.00
loop_
_space_group_symop_operation_xyz
'x,y,z'
loop_
_atom_site_label
_atom_site_type_symbol
_atom_site_fract_x
_atom_site_fract_y
_atom_site_fract_z
In1 In 0.500 0.000 0.899
In2 In 0.500 0.500 0.000
In3 In 0.000 0.500 0.899
In4 In 0.000 0.500 0.101
In5 In 0.500 0.000 0.101
In6 In 0.000 0.500 0.302
In7 In 0.000 0.500 0.500
In8 In 0.000 0.500 0.698
In9 In 0.500 0.000 0.500
In10 In 0.500 0.500 0.796
In11 In 0.500 0.500 0.204
In12 In 0.500 0.500 0.598
In13 In 0.500 0.500 0.402
In14 In 0.500 0.000 0.698
In15 In 0.500 0.000 0.302
Hg1 Hg 0.000 0.000 0.000
Th1 Th 0.000 0.000 0.401
Th2 Th 0.000 0.000 0.599
Th3 Th 0.000 0.000 0.796
Th4 Th 0.000 0.000 0.204
```

8.
The following is a DFT calculation (PBE) of crystalline PdCl2O at its relaxed geometry.

Output
Uncorrected formation energy = 0.64 eV per atom
Space-group type = I-42d
Total DFT energy (no corrections) = -2.822 eV/atom

Structure (CIF):
```
data_PdCl2O
_space_group_name_H-M_alt 'P 1'
_space_group_IT_number 1
_cell_length_a 4.738
_cell_length_b 4.738
_cell_length_c 7.501
_cell_angle_alpha 71.59
_cell_angle_beta 71.59
_cell_angle_gamma 90.00
loop_
_space_group_symop_operation_xyz
'x,y,z'
loop_
_atom_site_label
_atom_site_type_symbol
_atom_site_fract_x
_atom_site_fract_y
_atom_site_fract_z
Pd1 Pd 0.000 0.000 0.000
Pd2 Pd 0.750 0.250 0.500
O1 O 0.500 0.500 0.000
O2 O 0.250 0.750 0.500
Cl1 Cl 0.875 0.852 0.750
Cl2 Cl 0.602 0.125 0.250
Cl3 Cl 0.148 0.625 0.250
Cl4 Cl 0.375 0.398 0.750
```